Record 1
Crystalline Be2CdIn at its relaxed geometry, computed with PBE.

The volume is 65.43 Å³/cell.

The structure belongs to space group P4/mmm (No. 123); the cell edges are 4.1014, 4.1014 and 3.8897 Å and the angles 90.00°, 90.00° and 90.00°. Symmetry generates all atoms from Be at (0.0000, 0.5000, 0.0000), Cd at (0.0000, 0.0000, 0.5000) and In at (0.5000, 0.5000, 0.5000).

Record 2
Crystalline Be2CdIn at its relaxed geometry, computed with PBE.

The volume is 142.37 Å³/cell.

The structure belongs to space group Immm (No. 71); the cell edges are 2.7811, 5.9914 and 8.5443 Å and the angles 90.00°, 90.00° and 90.00°. Symmetry generates all atoms from Be at (0.0000, 0.0000, 0.2488), Cd at (0.0000, 0.5000, 0.5000) and In at (0.0000, 0.5000, 0.0000).

Record 3
Crystalline BeCdIn2 at its relaxed geometry, computed with PBE.

The volume is 174.70 Å³/cell.

The structure belongs to space group Immm (No. 71); the cell edges are 3.9985, 5.1290 and 8.5186 Å and the angles 90.00°, 90.00° and 90.00°. Symmetry generates all atoms from Be at (0.0000, 0.0000, 0.0000), Cd at (0.0000, 0.0000, 0.5000) and In at (0.0000, 0.5000, 0.2864).

VASP energy
In order: -2.19; -2.16; -2.13
Unit: eV per atom
Polymorph energy (0 for the lowest one)
In order: 78; 88; 50
Unit: kJ/mol of formula units
Energy of formation
In order: 57; 59; 38
Unit: kJ/mol of atoms